The following is a DFT calculation (PBE-GGA) of a relaxed structure of KSr4Nb3O12.

Results
Energy relative to the elements, uncorrected (eV per atom): -2.572
Total DFT energy (no corrections) (eV/atom): -7.449
ρ (kg/m³): 4784
Spin magnetization (μB/f.u.): 0.00
Space-group type: Im-3m

```
KSr4Nb3O12
1.0
7.2928 0.0000 0.0000
-2.4309 6.8758 0.0000
-2.4309 -3.4379 5.9546
O Sr K Nb
12 4 1 3
direct
0.7500 0.5000 0.2500
0.5000 0.7500 0.2500
0.7245 0.0000 0.7245
0.0000 0.7245 0.7245
0.2755 0.2755 0.0000
0.2755 0.0000 0.2755
0.2500 0.5000 0.7500
0.7500 0.2500 0.5000
0.2500 0.7500 0.5000
0.0000 0.2755 0.2755
0.5000 0.2500 0.7500
0.7245 0.7245 0.0000
0.0000 0.0000 0.5000
0.5000 0.0000 0.0000
0.5000 0.5000 0.5000
0.0000 0.5000 0.0000
0.0000 0.0000 0.0000
0.5000 0.5000 0.0000
0.5000 0.0000 0.5000
0.0000 0.5000 0.5000
```